Compound: TbTmRuPb
Source: the Alexandria database
Functional: PBE
Structure: optimized geometry

a = 5.097 Å, b = 5.097 Å, c = 5.097 Å
α = 60.00°, β = 60.00°, γ = 60.00°
Fractional positions:
Tb 0.000 0.000 0.000
Tm 0.500 0.500 0.500
Ru 0.250 0.250 0.250
Pb 0.750 0.750 0.750

Values from the calculation:
* ΔH_f (0 K): -273 meV/atom
* ΔE to the lowest computed polymorph: 213 meV per atom
* ρ: 11.3 Mg/m³
* total DFT energy (no corrections): -23.18 eV/cell

Compound: TbTmRuPb
Source: the Alexandria database
Functional: PBE
Structure: optimized geometry

a = 3.413 Å, b = 3.413 Å, c = 8.234 Å
α = 90.00°, β = 90.00°, γ = 90.00°
Fractional positions:
Tb 0.000 0.000 0.000
Tm 0.000 0.000 0.598
Ru 0.500 0.500 0.793
Pb 0.500 0.500 0.304

Values from the calculation:
* ΔH_f (0 K): -486 meV/atom
* ΔE to the lowest computed polymorph: 0 meV per atom
* ρ: 11.0 Mg/m³
* total DFT energy (no corrections): -24.03 eV/cell

Compound: Tc2RuPb
Source: the Alexandria database
Functional: PBE
Structure: optimized geometry

a = 2.970 Å, b = 2.970 Å, c = 7.580 Å
α = 90.00°, β = 90.00°, γ = 90.00°
Fractional positions:
Tc 0.000 0.000 0.000
Tc 0.500 0.500 0.215
Ru 0.500 0.500 0.776
Pb 0.000 0.000 0.502

Values from the calculation:
* ΔH_f (0 K): 437 meV/atom
* ρ: 12.5 Mg/m³
* total DFT energy (no corrections): -31.97 eV/cell

Compound: Tc2RuPb
Source: the Alexandria database
Functional: PBE
Structure: optimized geometry

a = 4.546 Å, b = 4.546 Å, c = 4.546 Å
α = 60.00°, β = 60.00°, γ = 60.00°
Fractional positions:
Tc 0.000 0.000 0.000
Tc 0.250 0.250 0.250
Ru 0.500 0.500 0.500
Pb 0.750 0.750 0.750

Values from the calculation:
* ΔH_f (0 K): 547 meV/atom
* ρ: 12.6 Mg/m³
* total DFT energy (no corrections): -31.53 eV/cell

Compound: TcRuPb2
Source: the Alexandria database
Functional: PBE
Structure: optimized geometry

a = 6.152 Å, b = 6.152 Å, c = 6.152 Å
α = 104.34°, β = 104.34°, γ = 120.31°
Fractional positions:
Tc 0.000 0.000 0.000
Tc 0.750 0.250 0.500
Ru 0.250 0.750 0.500
Ru 0.500 0.500 0.000
Pb 0.137 0.625 0.012
Pb 0.375 0.387 0.512
Pb 0.613 0.125 0.988
Pb 0.875 0.863 0.488

Values from the calculation:
* ΔH_f (0 K): 1050 meV/atom
* ΔE to the lowest computed polymorph: 750 meV per atom
* ρ: 11.7 Mg/m³
* total DFT energy (no corrections): -45.72 eV/cell

Compound: TcRu3Pb
Source: the Alexandria database
Functional: PBE
Structure: optimized geometry

a = 4.686 Å, b = 4.686 Å, c = 4.686 Å
α = 90.00°, β = 90.00°, γ = 90.00°
Fractional positions:
Tc 0.000 0.000 0.000
Ru 0.000 0.000 0.500
Ru 0.000 0.500 0.000
Ru 0.500 0.000 0.000
Pb 0.500 0.500 0.500

Values from the calculation:
* ΔH_f (0 K): 1355 meV/atom
* ΔE to the lowest computed polymorph: 0 meV per atom
* ρ: 9.8 Mg/m³
* total DFT energy (no corrections): -35.13 eV/cell